Entry 1:
# PBE Sr2Cu2Ni15, optimized geometry
# **DFT total energy**: -5.179 eV/atom
# **Spin magnetization**: 7.146 Bohr magnetons per cell
# **Calculated formation energy**: -6 meV per atom
# **Calculated volume**: 252.7 Å³ per cell
data_Sr2Cu2Ni15
_chemical_formula_sum 'Sr2 Cu2 Ni15'
_cell_length_a 6.358
_cell_length_b 6.358
_cell_length_c 6.358
_cell_angle_alpha 83.72
_cell_angle_beta 83.72
_cell_angle_gamma 83.72
_space_group_name_H-M_alt 'P 1'
_space_group_IT_number 1
loop_
_space_group_symop_operation_xyz
'x,y,z'
loop_
_atom_site_label
_atom_site_fract_x
_atom_site_fract_y
_atom_site_fract_z
_atom_site_occupancy
Sr1 0.345 0.345 0.345 1
Sr2 0.655 0.655 0.655 1
Ni1 0.658 0.658 0.148 1
Ni2 0.000 0.713 0.287 1
Ni3 0.500 0.000 0.000 1
Ni4 0.713 0.000 0.287 1
Ni5 0.852 0.342 0.342 1
Ni6 0.287 0.713 0.000 1
Ni7 0.658 0.148 0.658 1
Ni8 0.287 0.000 0.713 1
Ni9 0.000 0.000 0.500 1
Ni10 0.148 0.658 0.658 1
Ni11 0.713 0.287 0.000 1
Ni12 0.000 0.287 0.713 1
Ni13 0.000 0.500 0.000 1
Ni14 0.342 0.342 0.852 1
Ni15 0.342 0.852 0.342 1
Cu1 0.902 0.902 0.902 1
Cu2 0.098 0.098 0.098 1

---

Entry 2:
# PBE HgTeW3, optimized geometry
# **Energy relative to the elements, uncorrected**: 2.455 eV/atom
# **DFT total energy**: -6.006 eV/atom
# **Spin magnetization**: 0.000 Bohr magnetons per cell
# **Calculated volume**: 117.3 Å³ per cell
# **E above lowest polymorph**: 0.0 meV per atom
data_HgTeW3
_chemical_formula_sum 'Hg1 Te1 W3'
_cell_length_a 4.895
_cell_length_b 4.895
_cell_length_c 4.895
_cell_angle_alpha 90.00
_cell_angle_beta 90.00
_cell_angle_gamma 90.00
_space_group_name_H-M_alt 'P 1'
_space_group_IT_number 1
loop_
_space_group_symop_operation_xyz
'x,y,z'
loop_
_atom_site_label
_atom_site_fract_x
_atom_site_fract_y
_atom_site_fract_z
_atom_site_occupancy
W1 0.000 0.500 0.000 1
W2 0.000 0.000 0.500 1
W3 0.500 0.000 0.000 1
Hg1 0.500 0.500 0.500 1
Te1 0.000 0.000 0.000 1

---

Entry 3:
# PBE AcSm8Dy2, optimized geometry
# **DFT total energy**: -4.516 eV/atom
# **Spin magnetization**: 0.000 Bohr magnetons per cell
# **Calculated formation energy**: 126 meV per atom
# **Calculated volume**: 392.8 Å³ per cell
data_AcSm8Dy2
_chemical_formula_sum 'Ac1 Sm8 Dy2'
_cell_length_a 5.617
_cell_length_b 10.451
_cell_length_c 10.451
_cell_angle_alpha 39.90
_cell_angle_beta 93.41
_cell_angle_gamma 93.41
_space_group_name_H-M_alt 'P 1'
_space_group_IT_number 1
loop_
_space_group_symop_operation_xyz
'x,y,z'
loop_
_atom_site_label
_atom_site_fract_x
_atom_site_fract_y
_atom_site_fract_z
_atom_site_occupancy
Sm1 0.241 0.545 0.545 1
Sm2 0.759 0.455 0.455 1
Sm3 0.728 0.866 0.406 1
Sm4 0.272 0.134 0.594 1
Sm5 0.767 0.810 0.810 1
Sm6 0.728 0.406 0.866 1
Sm7 0.233 0.190 0.190 1
Sm8 0.272 0.594 0.134 1
Ac1 0.000 0.000 0.000 1
Dy1 0.249 0.715 0.715 1
Dy2 0.751 0.285 0.285 1

---

Entry 4:
# PBE Mg2SbOs, optimized geometry
# **Energy relative to the elements, uncorrected**: 0.132 eV/atom
# **DFT total energy**: -4.503 eV/atom
# **Spin magnetization**: 0.000 Bohr magnetons per cell
# **Calculated volume**: 71.8 Å³ per cell
data_Mg2SbOs
_chemical_formula_sum 'Mg2 Sb1 Os1'
_cell_length_a 4.998
_cell_length_b 4.998
_cell_length_c 4.998
_cell_angle_alpha 129.83
_cell_angle_beta 129.83
_cell_angle_gamma 73.67
_space_group_name_H-M_alt 'P 1'
_space_group_IT_number 1
loop_
_space_group_symop_operation_xyz
'x,y,z'
loop_
_atom_site_label
_atom_site_fract_x
_atom_site_fract_y
_atom_site_fract_z
_atom_site_occupancy
Mg1 0.000 0.000 0.000 1
Mg2 0.250 0.750 0.500 1
Sb1 0.750 0.250 0.500 1
Os1 0.500 0.500 0.000 1

---

Please write out number 4 again, unchanged.
# PBE Mg2SbOs, optimized geometry
# **Energy relative to the elements, uncorrected**: 0.132 eV/atom
# **DFT total energy**: -4.503 eV/atom
# **Spin magnetization**: 0.000 Bohr magnetons per cell
# **Calculated volume**: 71.8 Å³ per cell
data_Mg2SbOs
_chemical_formula_sum 'Mg2 Sb1 Os1'
_cell_length_a 4.998
_cell_length_b 4.998
_cell_length_c 4.998
_cell_angle_alpha 129.83
_cell_angle_beta 129.83
_cell_angle_gamma 73.67
_space_group_name_H-M_alt 'P 1'
_space_group_IT_number 1
loop_
_space_group_symop_operation_xyz
'x,y,z'
loop_
_atom_site_label
_atom_site_fract_x
_atom_site_fract_y
_atom_site_fract_z
_atom_site_occupancy
Mg1 0.000 0.000 0.000 1
Mg2 0.250 0.750 0.500 1
Sb1 0.750 0.250 0.500 1
Os1 0.500 0.500 0.000 1